(w)
# LaSbPb3 | the Alexandria database | PBE | optimized geometry
# ρ, g cm⁻³: 7.5
# Magnetization, μB per atom: 0.00
data_LaSbPb3
_space_group_name_H-M_alt 'P m -3 m'
_space_group_IT_number 221
_space_group_name_Hall '-P 4 2 3'
_cell_length_a 5.812
_cell_length_b 5.812
_cell_length_c 5.812
_cell_angle_alpha 90.00
_cell_angle_beta 90.00
_cell_angle_gamma 90.00
loop_
_atom_site_label
_atom_site_fract_x
_atom_site_fract_y
_atom_site_fract_z
La1 0.000 0.000 0.000
Sb1 0.500 0.500 0.500
Pb1 0.000 0.500 0.500



(x)
# LaSbPb3 | the Alexandria database | PBE | optimized geometry
# ρ, g cm⁻³: 6.5
# Magnetization, μB per atom: 0.00
data_LaSbPb3
_space_group_name_H-M_alt 'P m -3 m'
_space_group_IT_number 221
_space_group_name_Hall '-P 4 2 3'
_cell_length_a 6.071
_cell_length_b 6.071
_cell_length_c 6.071
_cell_angle_alpha 90.00
_cell_angle_beta 90.00
_cell_angle_gamma 90.00
loop_
_atom_site_label
_atom_site_fract_x
_atom_site_fract_y
_atom_site_fract_z
La1 0.000 0.000 0.000
Sb1 0.500 0.500 0.500
Pb1 0.000 0.000 0.500



Tell me which of them is the least stable. Sure, it is (x).



(w)
# LaSb2TePb | the Alexandria database | PBE | optimized geometry
# ρ, g cm⁻³: 5.4
# Magnetization, μB per atom: 0.00
data_LaSb2TePb
_space_group_name_H-M_alt 'P 4/m m m'
_space_group_IT_number 123
_space_group_name_Hall '-P 4 2'
_cell_length_a 6.025
_cell_length_b 6.025
_cell_length_c 6.045
_cell_angle_alpha 90.00
_cell_angle_beta 90.00
_cell_angle_gamma 90.00
loop_
_atom_site_label
_atom_site_fract_x
_atom_site_fract_y
_atom_site_fract_z
La1 0.000 0.000 0.000
Sb1 0.000 0.500 0.000
Te1 0.000 0.000 0.500
Pb1 0.500 0.500 0.500



(x)
# LaSb2TePb | the Alexandria database | PBE | optimized geometry
# ρ, g cm⁻³: 6.3
# Magnetization, μB per atom: 0.00
data_LaSb2TePb
_space_group_name_H-M_alt 'P 4/m m m'
_space_group_IT_number 123
_space_group_name_Hall '-P 4 2'
_cell_length_a 5.690
_cell_length_b 5.690
_cell_length_c 5.813
_cell_angle_alpha 90.00
_cell_angle_beta 90.00
_cell_angle_gamma 90.00
loop_
_atom_site_label
_atom_site_fract_x
_atom_site_fract_y
_atom_site_fract_z
La1 0.000 0.000 0.000
Sb1 0.000 0.500 0.500
Te1 0.500 0.500 0.000
Pb1 0.500 0.500 0.500



Tell me which of them is the least stable. Sure, it is (w).



(w)
# La2PbSe4 | the Alexandria database | PBE | optimized geometry
# ρ, g cm⁻³: 6.0
# Magnetization, μB per atom: 0.00
data_La2PbSe4
_space_group_name_H-M_alt 'C m c m'
_space_group_IT_number 63
_space_group_name_Hall '-C 2c 2'
_cell_length_a 4.305
_cell_length_b 14.236
_cell_length_c 14.554
_cell_angle_alpha 90.00
_cell_angle_beta 90.00
_cell_angle_gamma 90.00
loop_
_atom_site_label
_atom_site_fract_x
_atom_site_fract_y
_atom_site_fract_z
La1 0.000 0.134 0.070
Pb1 0.000 0.388 0.250
Se1 0.000 0.031 0.250
Se2 0.000 0.230 0.616
Se3 0.000 0.500 0.000



(x)
# La2PbSe4 | the Alexandria database | PBE | optimized geometry
# ρ, g cm⁻³: 6.9
# Magnetization, μB per atom: 0.00
data_La2PbSe4
_space_group_name_H-M_alt 'I -4 2 d'
_space_group_IT_number 122
_space_group_name_Hall 'I -4 2bw'
_cell_length_a 9.172
_cell_length_b 9.172
_cell_length_c 9.135
_cell_angle_alpha 90.00
_cell_angle_beta 90.00
_cell_angle_gamma 90.00
loop_
_atom_site_label
_atom_site_fract_x
_atom_site_fract_y
_atom_site_fract_z
La1 0.135 0.250 0.125
Pb1 0.000 0.000 0.500
Se1 0.075 0.173 0.807



Tell me which of them is the least stable. Sure, it is (w).



(w)
# LaPbSe3 | the Alexandria database | PBE | optimized geometry
# ρ, g cm⁻³: 5.2
# Magnetization, μB per atom: 0.00
data_LaPbSe3
_space_group_name_H-M_alt 'P m -3 m'
_space_group_IT_number 221
_space_group_name_Hall '-P 4 2 3'
_cell_length_a 5.699
_cell_length_b 5.699
_cell_length_c 5.699
_cell_angle_alpha 90.00
_cell_angle_beta 90.00
_cell_angle_gamma 90.00
loop_
_atom_site_label
_atom_site_fract_x
_atom_site_fract_y
_atom_site_fract_z
La1 0.000 0.000 0.000
Pb1 0.500 0.500 0.500
Se1 0.000 0.000 0.500



(x)
# LaPbSe3 | the Alexandria database | PBE | optimized geometry
# ρ, g cm⁻³: 5.3
# Magnetization, μB per atom: 0.00
data_LaPbSe3
_space_group_name_H-M_alt 'P 1 21/m 1'
_space_group_IT_number 11
_cell_length_a 7.525
_cell_length_b 4.515
_cell_length_c 10.939
_cell_angle_alpha 90.00
_cell_angle_beta 103.13
_cell_angle_gamma 90.00
loop_
_space_group_symop_operation_xyz
'x,y,z'
'-x,-y,-z'
'-x,y+1/2,-z'
'x,-y+1/2,z'
loop_
_atom_site_label
_atom_site_fract_x
_atom_site_fract_y
_atom_site_fract_z
La1 0.219 0.250 0.424
Pb1 0.376 0.250 0.857
Se1 0.048 0.250 0.645
Se2 0.253 0.750 0.972
Se3 0.455 0.750 0.357



Tell me which of them is the least stable. Sure, it is (w).



(w)
# La2PbSe2 | the Alexandria database | PBE | optimized geometry
# ρ, g cm⁻³: 7.6
# Magnetization, μB per atom: 0.00
data_La2PbSe2
_space_group_name_H-M_alt 'P 4/m b m'
_space_group_IT_number 127
_space_group_name_Hall '-P 4 2ab'
_cell_length_a 8.587
_cell_length_b 8.587
_cell_length_c 3.810
_cell_angle_alpha 90.00
_cell_angle_beta 90.00
_cell_angle_gamma 90.00
loop_
_atom_site_label
_atom_site_fract_x
_atom_site_fract_y
_atom_site_fract_z
La1 0.163 0.337 0.000
Pb1 0.000 0.000 0.500
Se1 0.136 0.636 0.500



(x)
# La2PbSe2 | the Alexandria database | PBE | optimized geometry
# ρ, g cm⁻³: 7.4
# Magnetization, μB per atom: 0.00
data_La2PbSe2
_space_group_name_H-M_alt 'P 4/m b m'
_space_group_IT_number 127
_space_group_name_Hall '-P 4 2ab'
_cell_length_a 8.649
_cell_length_b 8.649
_cell_length_c 3.883
_cell_angle_alpha 90.00
_cell_angle_beta 90.00
_cell_angle_gamma 90.00
loop_
_atom_site_label
_atom_site_fract_x
_atom_site_fract_y
_atom_site_fract_z
La1 0.161 0.339 0.000
Pb1 0.000 0.000 0.000
Se1 0.138 0.638 0.500



Tell me which of them is the least stable. Sure, it is (x).



(w)
# La2SiPb2 | the Alexandria database | PBE | optimized geometry
# ρ, g cm⁻³: 7.3
# Magnetization, μB per atom: 0.00
data_La2SiPb2
_space_group_name_H-M_alt 'P 4/m b m'
_space_group_IT_number 127
_space_group_name_Hall '-P 4 2ab'
_cell_length_a 8.085
_cell_length_b 8.085
_cell_length_c 4.996
_cell_angle_alpha 90.00
_cell_angle_beta 90.00
_cell_angle_gamma 90.00
loop_
_atom_site_label
_atom_site_fract_x
_atom_site_fract_y
_atom_site_fract_z
La1 0.171 0.329 0.000
Si1 0.000 0.000 0.000
Pb1 0.139 0.639 0.500



(x)
# La2SiPb2 | the Alexandria database | PBE | optimized geometry
# ρ, g cm⁻³: 7.9
# Magnetization, μB per atom: 0.00
data_La2SiPb2
_space_group_name_H-M_alt 'P 4/m b m'
_space_group_IT_number 127
_space_group_name_Hall '-P 4 2ab'
_cell_length_a 7.928
_cell_length_b 7.928
_cell_length_c 4.831
_cell_angle_alpha 90.00
_cell_angle_beta 90.00
_cell_angle_gamma 90.00
loop_
_atom_site_label
_atom_site_fract_x
_atom_site_fract_y
_atom_site_fract_z
La1 0.174 0.326 0.000
Si1 0.000 0.000 0.500
Pb1 0.137 0.637 0.500



Tell me which of them is the least stable. Sure, it is (w).



(w)
# La4SiPb | the Alexandria database | PBE | optimized geometry
# ρ, g cm⁻³: 7.1
# Magnetization, μB per atom: 0.00
data_La4SiPb
_space_group_name_H-M_alt 'F -4 3 m'
_space_group_IT_number 216
_space_group_name_Hall 'F -4 2 3'
_cell_length_a 9.055
_cell_length_b 9.055
_cell_length_c 9.055
_cell_angle_alpha 90.00
_cell_angle_beta 90.00
_cell_angle_gamma 90.00
loop_
_atom_site_label
_atom_site_fract_x
_atom_site_fract_y
_atom_site_fract_z
La1 0.125 0.125 0.125
Si1 0.000 0.000 0.500
Pb1 0.250 0.250 0.750



(x)
# La4SiPb | the Alexandria database | PBE | optimized geometry
# ρ, g cm⁻³: 6.9
# Magnetization, μB per atom: 0.00
data_La4SiPb
_space_group_name_H-M_alt 'C 1 2/c 1'
_space_group_IT_number 15
_cell_length_a 9.102
_cell_length_b 14.370
_cell_length_c 6.239
_cell_angle_alpha 90.00
_cell_angle_beta 111.25
_cell_angle_gamma 90.00
loop_
_space_group_symop_operation_xyz
'x,y,z'
'-x,-y,-z'
'-x,y,-z+1/2'
'x,-y,z+1/2'
'x+1/2,y+1/2,z'
'-x+1/2,-y+1/2,-z'
'-x+1/2,y+1/2,-z+1/2'
'x+1/2,-y+1/2,z+1/2'
loop_
_atom_site_label
_atom_site_fract_x
_atom_site_fract_y
_atom_site_fract_z
La1 0.110 0.179 0.065
La2 0.207 0.420 0.353
Si1 0.000 0.001 0.750
Pb1 0.000 0.379 0.750



Tell me which of them is the least stable. Sure, it is (w).



(w)
# La3SiPb | the Alexandria database | PBE | optimized geometry
# ρ, g cm⁻³: 6.5
# Magnetization, μB per atom: 0.00
data_La3SiPb
_space_group_name_H-M_alt 'P -1'
_space_group_IT_number 2
_cell_length_a 5.905
_cell_length_b 7.459
_cell_length_c 9.110
_cell_angle_alpha 97.68
_cell_angle_beta 108.82
_cell_angle_gamma 113.12
loop_
_space_group_symop_operation_xyz
'x,y,z'
'-x,-y,-z'
loop_
_atom_site_label
_atom_site_fract_x
_atom_site_fract_y
_atom_site_fract_z
La1 0.006 0.156 0.351
La2 0.230 0.851 0.105
La3 0.359 0.476 0.742
Si1 0.320 0.191 0.955
Pb1 0.340 0.729 0.454



(x)
# La3SiPb | the Alexandria database | PBE | optimized geometry
# ρ, g cm⁻³: 5.9
# Magnetization, μB per atom: 0.00
data_La3SiPb
_space_group_name_H-M_alt 'P m -3 m'
_space_group_IT_number 221
_space_group_name_Hall '-P 4 2 3'
_cell_length_a 5.677
_cell_length_b 5.677
_cell_length_c 5.677
_cell_angle_alpha 90.00
_cell_angle_beta 90.00
_cell_angle_gamma 90.00
loop_
_atom_site_label
_atom_site_fract_x
_atom_site_fract_y
_atom_site_fract_z
La1 0.000 0.000 0.500
Si1 0.000 0.000 0.000
Pb1 0.500 0.500 0.500



Tell me which of them is the least stable. Sure, it is (x).



(w)
# LaSm3Pb2 | the Alexandria database | PBE | optimized geometry
# ρ, g cm⁻³: 8.4
# Magnetization, μB per atom: 0.00
data_LaSm3Pb2
_space_group_name_H-M_alt 'C 1 2/m 1'
_space_group_IT_number 12
_cell_length_a 18.749
_cell_length_b 4.726
_cell_length_c 9.844
_cell_angle_alpha 90.00
_cell_angle_beta 114.36
_cell_angle_gamma 90.00
loop_
_space_group_symop_operation_xyz
'x,y,z'
'-x,-y,-z'
'-x,y,-z'
'x,-y,z'
'x+1/2,y+1/2,z'
'-x+1/2,-y+1/2,-z'
'-x+1/2,y+1/2,-z'
'x+1/2,-y+1/2,z'
loop_
_atom_site_label
_atom_site_fract_x
_atom_site_fract_y
_atom_site_fract_z
La1 0.115 0.000 0.132
Sm1 0.057 0.000 0.687
Sm2 0.144 0.500 0.482
Sm3 0.193 0.500 0.887
Pb1 0.009 0.500 0.849
Pb2 0.243 0.000 0.710



(x)
# LaSm3Pb2 | the Alexandria database | PBE | optimized geometry
# ρ, g cm⁻³: 8.6
# Magnetization, μB per atom: 0.00
data_LaSm3Pb2
_space_group_name_H-M_alt 'P -4 m 2'
_space_group_IT_number 115
_cell_length_a 4.659
_cell_length_b 4.659
_cell_length_c 8.927
_cell_angle_alpha 90.00
_cell_angle_beta 90.00
_cell_angle_gamma 90.00
loop_
_space_group_symop_operation_xyz
'x,y,z'
'y,-x,-z'
'-x,-y,z'
'-y,x,-z'
'-x,y,z'
'-y,-x,-z'
'x,-y,z'
'y,x,-z'
loop_
_atom_site_label
_atom_site_fract_x
_atom_site_fract_y
_atom_site_fract_z
La1 0.000 0.000 0.000
Sm1 0.000 0.500 0.349
Sm2 0.500 0.500 0.000
Pb1 0.000 0.500 0.713



Tell me which of them is the least stable. Sure, it is (w).



(w)
# LaSmPb | the Alexandria database | PBE | optimized geometry
# ρ, g cm⁻³: 8.9
# Magnetization, μB per atom: 0.00
data_LaSmPb
_space_group_name_H-M_alt 'I 4 m m'
_space_group_IT_number 107
_space_group_name_Hall 'I 4 -2'
_cell_length_a 4.278
_cell_length_b 4.278
_cell_length_c 10.168
_cell_angle_alpha 90.00
_cell_angle_beta 90.00
_cell_angle_gamma 90.00
loop_
_atom_site_label
_atom_site_fract_x
_atom_site_fract_y
_atom_site_fract_z
La1 0.000 0.000 0.000
Sm1 0.000 0.000 0.309
Pb1 0.000 0.000 0.660



(x)
# LaSmPb | the Alexandria database | PBE | optimized geometry
# ρ, g cm⁻³: 8.4
# Magnetization, μB per atom: 0.00
data_LaSmPb
_space_group_name_H-M_alt 'P 3 m 1'
_space_group_IT_number 156
_cell_length_a 5.3576
_cell_length_b 5.3576
_cell_length_c 3.9700
_cell_angle_alpha 90.00
_cell_angle_beta 90.00
_cell_angle_gamma 120.00
loop_
_space_group_symop_operation_xyz
'x,y,z'
'-y,x-y,z'
'-x+y,-x,z'
'-y,-x,z'
'-x+y,y,z'
'x,x-y,z'
loop_
_atom_site_label
_atom_site_fract_x
_atom_site_fract_y
_atom_site_fract_z
La1 0.0000 0.0000 0.0000
Sm1 0.6667 0.3333 0.5574
Pb1 0.3333 0.6667 0.3571



Tell me which of them is the least stable. Sure, it is (x).



(w)
# LaSmPb | the Alexandria database | PBE | optimized geometry
# ρ, g cm⁻³: 8.6
# Magnetization, μB per atom: 0.00
data_LaSmPb
_space_group_name_H-M_alt 'C m c m'
_space_group_IT_number 63
_space_group_name_Hall '-C 2c 2'
_cell_length_a 4.540
_cell_length_b 16.948
_cell_length_c 4.990
_cell_angle_alpha 90.00
_cell_angle_beta 90.00
_cell_angle_gamma 90.00
loop_
_atom_site_label
_atom_site_fract_x
_atom_site_fract_y
_atom_site_fract_z
La1 0.000 0.071 0.250
Sm1 0.000 0.254 0.750
Pb1 0.000 0.393 0.250



(x)
# LaSmPb | the Alexandria database | PBE | optimized geometry
# ρ, g cm⁻³: 8.1
# Magnetization, μB per atom: 0.12
data_LaSmPb
_space_group_name_H-M_alt 'R -3'
_space_group_IT_number 148
_space_group_name_Hall '-R 3'
_cell_length_a 12.4122
_cell_length_b 12.4122
_cell_length_c 13.8094
_cell_angle_alpha 90.00
_cell_angle_beta 90.00
_cell_angle_gamma 120.00
loop_
_atom_site_label
_atom_site_fract_x
_atom_site_fract_y
_atom_site_fract_z
La1 0.0447 0.8567 0.3650
Sm1 0.0380 0.1920 0.8930
Pb1 0.0061 0.4025 0.7653



(y)
# LaSmPb | the Alexandria database | PBE | optimized geometry
# ρ, g cm⁻³: 8.2
# Magnetization, μB per atom: 0.00
data_LaSmPb
_space_group_name_H-M_alt 'C 1 2/m 1'
_space_group_IT_number 12
_cell_length_a 6.715
_cell_length_b 6.715
_cell_length_c 8.957
_cell_angle_alpha 90.00
_cell_angle_beta 90.07
_cell_angle_gamma 90.00
loop_
_space_group_symop_operation_xyz
'x,y,z'
'-x,-y,-z'
'-x,y,-z'
'x,-y,z'
'x+1/2,y+1/2,z'
'-x+1/2,-y+1/2,-z'
'-x+1/2,y+1/2,-z'
'x+1/2,-y+1/2,z'
loop_
_atom_site_label
_atom_site_fract_x
_atom_site_fract_y
_atom_site_fract_z
La1 0.249 0.000 0.153
Sm1 0.000 0.250 0.500
Pb1 0.249 0.500 0.225



Tell me which of them is the least stable. Sure, it is (x).